A geometry-optimized BaTlBi2Pd structure. Source: the Alexandria database, functional PBE.

## Properties
ΔE_f ... -31 kJ per mole of atoms
D(E_F) ... 3.0 states/eV/cell
Volume ... 33.75 A^3/atom

Cell lengths 5.610, 5.610, 5.362 Å; angles 90.00, 90.00, 90.00 degrees
Space group P4/mmm (No. 123)
Inequivalent atoms, fractional coordinates:
Ba: 0.000 0.000 0.000 x1
Tl: 0.500 0.500 0.000 x1
Bi: 0.000 0.500 0.500 x2
Pd: 0.500 0.500 0.500 x1